# 1
Computed, not measured: a PBEsol-optimized structure of Zr2TcRh at the meta-GGA SCAN level of DFT.

Properties
As for the formation energy: -77 kJ per mole of atoms. Its space group is P4/mmm. Its total moment is 0.00 μB/f.u.

a = 3.260 Å, b = 3.260 Å, c = 6.417 Å
α = 90.00°, β = 90.00°, γ = 90.00°
Positions (direct):
Rh1 0.500 0.500 0.500
Tc1 0.500 0.500 0.000
Zr1 0.000 0.000 0.246
Zr2 0.000 0.000 0.754

=====

# 2
Computed, not measured: a PBEsol-optimized structure of K2BiAuBr at the meta-GGA SCAN level of DFT.

Properties
For the formation energy without anion corrections, the calculation gives -0.072 eV per atom. Its space group is P4/mmm. Its total moment is 1.00 μB/f.u.

a = 5.512 Å, b = 6.769 Å, c = 6.769 Å
α = 90.00°, β = 90.00°, γ = 90.00°
Positions (direct):
K1 0.000 0.000 0.500
K2 0.000 0.500 0.000
Au1 0.500 0.500 0.500
Bi1 0.000 0.000 0.000
Br1 0.500 0.000 0.000

=====

| no. | raw total energy (eV per formula unit) |
| --- | --- |
| 1 | -133.4 |
| 2 | -184.2 |